{"formula": "AcTl2CrO4", "functional": "PBE+U", "state": "optimized geometry", "lattice": [[-4.7854, -0.1816, -0.0897], [0.0809, -6.0350, 7.8987], [-0.3010, 5.7580, 4.4025]], "species": ["Ac", "Ac", "Tl", "Tl", "Tl", "Tl", "Cr", "Cr", "O", "O", "O", "O", "O", "O", "O", "O"], "frac_coords": [[0.9373, 0.1036, 0.5000], [0.4373, 0.8964, 0.0000], [0.4532, 0.3715, 0.2365], [0.4532, 0.3715, 0.7635], [0.9532, 0.6285, 0.7365], [0.9532, 0.6285, 0.2635], [0.5026, 0.8410, 0.5000], [0.0026, 0.1590, 0.0000], [0.3792, 0.1428, 0.0000], [0.8792, 0.8572, 0.5000], [0.4320, 0.0226, 0.5000], [0.9320, 0.9774, 0.0000], [0.4212, 0.7636, 0.7190], [0.9212, 0.2364, 0.2190], [0.9212, 0.2364, 0.7810], [0.4212, 0.7636, 0.2810]], "sg": "No. 31", "dft_energy_ev_per_cell": -99.1, "rho_g_cm3": 7.23, "crystal_system": "orthorhombic"}